Record 1
The following is a SCAN calculation of a PBEsol-optimized structure of SmMn2SiC, from Alexandria via LeMat-Bulk.

Properties
**Total magnetization**: 3.42 μB per formula unit
**Final energy**: -103.7 eV/f.u.
**ΔE_f (raw)**: -0.53 eV per atom
**Volume**: 13.6 A^3/atom
**Space group**: Cmcm

abc: 3.7686 5.5600 6.9152
angles: 90.00 90.00 109.81
Closest atoms and distances in Å follow each position.
Atoms (fractional coordinates):
Sm 0.4536 0.9072 0.2500  4 C 2.60
Sm 0.5464 0.0928 0.7500  4 C 2.60
Mn 0.1688 0.3375 0.4355  1 C 1.82
Mn 0.8312 0.6625 0.5645  1 C 1.82
Mn 0.8312 0.6625 0.9355  1 C 1.82
Mn 0.1688 0.3375 0.0645  1 C 1.82
Si 0.7339 0.4679 0.2500  6 Mn 2.38-2.40
Si 0.2661 0.5321 0.7500  6 Mn 2.38-2.40
C 0.0000 0.0000 0.5000  2 Mn 1.82
C 0.0000 0.0000 0.0000  2 Mn 1.82

***

Record 2
The following is a SCAN calculation of a PBEsol-optimized structure of Re2AgPd, from Alexandria via LeMat-Bulk.

Properties
**DFT formation energy**: 1070 meV/atom
**Total magnetization**: 0.00 μB per formula unit
**Final energy**: -202.1 eV/f.u.
**Volume**: 14.9 A^3/atom
**Space group**: Fm-3m

abc: 4.3871 4.3871 4.3871
angles: 60.00 60.00 60.00
Closest atoms and distances in Å follow each position.
Atoms (fractional coordinates):
Re 0.2500 0.2500 0.2500  4 Pd 2.69, 4 Ag 2.69
Re 0.7500 0.7500 0.7500  4 Pd 2.69, 4 Ag 2.69
Pd 0.0000 0.0000 0.0000  8 Re 2.69
Ag 0.5000 0.5000 0.5000  8 Re 2.69

***

Record 3
The following is a SCAN calculation of a PBEsol-optimized structure of LaBeFe2, from Alexandria via LeMat-Bulk.

Properties
**DFT formation energy**: 81 meV/atom
**Total magnetization**: 2.23 μB per formula unit
**Final energy**: -83.4 eV/f.u.
**Volume**: 16.3 A^3/atom
**Space group**: R-3m

abc: 3.9206 3.9206 5.3878
angles: 68.66 68.66 60.00
Closest atoms and distances in Å follow each position.
Atoms (fractional coordinates):
Be 0.5000 0.5000 0.5000  6 Fe 2.27
Fe 0.1789 0.1789 0.4634  3 Be 2.27, 3 Fe 2.29
Fe 0.8211 0.8211 0.5366  3 Be 2.27, 3 Fe 2.29
La 0.0000 0.0000 0.0000  2 Fe 2.62

***

Record 4
The following is a SCAN calculation of a PBEsol-optimized structure of ZrSc2Co, from Alexandria via LeMat-Bulk.

Properties
**DFT formation energy**: -142 meV/atom
**Total magnetization**: 0.88 μB per formula unit
**Relative energy among the computed polymorphs**: 21 meV per atom
**Final energy**: -77.0 eV/f.u.
**Volume**: 19.0 A^3/atom
**Space group**: P4mm

abc: 3.1822 3.1822 7.5157
angles: 90.00 90.00 90.00
Closest atoms and distances in Å follow each position.
Atoms (fractional coordinates):
Co 0.5000 0.5000 0.7482  4 Sc 2.68, 4 Zr 2.72
Sc 0.0000 0.0000 0.9411  4 Co 2.68, 1 Zr 2.97
Sc 0.5000 0.5000 0.2648  4 Zr 3.09, 8 Sc 3.18-3.31
Zr 0.0000 0.0000 0.5459  4 Co 2.72, 1 Sc 2.97